Record 1
VASP calculation (meta-GGA SCAN) on a PBEsol-optimized structure of NiIrW2.

Structure (CIF):
```
data_NiIrW2
_space_group_name_H-M_alt 'I 4/m m m'
_space_group_IT_number 139
_space_group_name_Hall '-I 4 2'
_cell_length_a 3.780
_cell_length_b 3.780
_cell_length_c 7.803
_cell_angle_alpha 90.00
_cell_angle_beta 90.00
_cell_angle_gamma 90.00
loop_
_atom_site_label
_atom_site_fract_x
_atom_site_fract_y
_atom_site_fract_z
Ni1 0.000 0.000 0.000
Ir1 0.000 0.000 0.500
W1 0.000 0.500 0.250
```

Calculated values
- Formation energy: -0.12 eV/atom

Record 2
VASP calculation (meta-GGA SCAN) on a PBEsol-optimized structure of CdIrBr2.

Structure (CIF):
```
data_CdIrBr2
_space_group_name_H-M_alt 'F m -3 m'
_space_group_IT_number 225
_space_group_name_Hall '-F 4 2 3'
_cell_length_a 6.798
_cell_length_b 6.798
_cell_length_c 6.798
_cell_angle_alpha 90.00
_cell_angle_beta 90.00
_cell_angle_gamma 90.00
loop_
_atom_site_label
_atom_site_fract_x
_atom_site_fract_y
_atom_site_fract_z
Cd1 0.000 0.000 0.000
Ir1 0.000 0.000 0.500
Br1 0.250 0.250 0.250
```

Calculated values
- ΔE_f (raw): 0.879 eV/atom
- Energy above the most stable polymorph in this dataset: 741 meV/atom

In the order shown, the computed DFT total energy values come out to -56.786, -34.229 eV/atom.